[1]
A plane-wave DFT calculation with PBE was carried out for PrTmZnAu after structural relaxation.

Calculated values
As for the calculated total energy: -4.027 eV per atom. Its formation enthalpy at 0 K is -56 kJ per mole of atoms. Its energy relative to the lowest polymorph listed for this composition is 0 meV/atom. The calculation puts the total magnetization at 0.000 μB/atom.

Lattice parameters (Å, degrees): 3.626 3.626 7.293 90.00 90.00 90.00
Space group P4mm (No. 99)
Inequivalent atoms, fractional coordinates:
Pr: 0.000 0.000 0.000 x1
Tm: 0.000 0.000 0.496 x1
Zn: 0.500 0.500 0.269 x1
Au: 0.500 0.500 0.709 x1

***

[2]
A plane-wave DFT calculation with PBE was carried out for Mn2AlFeC after structural relaxation.

Calculated values
As for the calculated total energy: -8.132 eV per atom. Its formation enthalpy at 0 K is -17 kJ per mole of atoms. The calculation puts the total magnetization at 0.662 μB/atom.

Lattice parameters (Å, degrees): 3.793 3.793 3.769 90.00 90.00 90.00
Space group P4/mmm (No. 123)
Inequivalent atoms, fractional coordinates:
Mn: 0.000 0.500 0.000 x2
Al: 0.000 0.000 0.500 x1
Fe: 0.500 0.500 0.500 x1
C: 0.500 0.500 0.000 x1

***

[3]
A plane-wave DFT calculation with PBE was carried out for La2TmIn2 after structural relaxation.

Calculated values
As for the calculated total energy: -4.347 eV per atom. Its formation enthalpy at 0 K is -37 kJ per mole of atoms. Its energy relative to the lowest polymorph listed for this composition is 0 meV/atom. The calculation puts the total magnetization at 0.000 μB/atom.

Lattice parameters (Å, degrees): 5.091 7.112 8.618 90.00 90.00 90.00
Space group Immm (No. 71)
Inequivalent atoms, fractional coordinates:
La: 0.000 0.000 0.188 x4
Tm: 0.000 0.500 0.000 x2
In: 0.000 0.282 0.500 x4

***

[4]
A plane-wave DFT calculation with PBE was carried out for KTaTl2 after structural relaxation.

Calculated values
As for the calculated total energy: -3.950 eV per atom. Its formation enthalpy at 0 K is 45 kJ per mole of atoms. Its energy relative to the lowest polymorph listed for this composition is 51 meV/atom. The calculation puts the total magnetization at 0.000 μB/atom.

Lattice parameters (Å, degrees): 3.129 4.279 8.010 90.00 90.00 90.00
Space group Pmmm (No. 47)
Inequivalent atoms, fractional coordinates:
K: 0.000 0.000 0.000 x1
Ta: 0.000 0.000 0.500 x1
Tl: 0.500 0.500 0.304 x2

***

[5]
A plane-wave DFT calculation with PBE was carried out for ZnSiBiIr2 after structural relaxation.

Calculated values
As for the calculated total energy: -3.850 eV per atom. Its formation energy from raw total energies is 873 kJ/mol of formula units. The calculation puts the total magnetization at 0.123 μB/atom.

Lattice parameters (Å, degrees): 5.038 5.038 5.035 90.00 90.00 90.00
Space group P4/mmm (No. 123)
Inequivalent atoms, fractional coordinates:
Zn: 0.000 0.000 0.000 x1
Si: 0.500 0.500 0.000 x1
Bi: 0.000 0.000 0.500 x1
Ir: 0.000 0.500 0.500 x2

***

[6]
A plane-wave DFT calculation with PBE was carried out for LiPm4Pr3S8 after structural relaxation.

Calculated values
As for the calculated total energy: -6.234 eV per atom. Its formation energy from raw total energies is -3036 kJ/mol of formula units. The calculation puts the total magnetization at 0.000 μB/atom.

Lattice parameters (Å, degrees): 8.0924 8.0924 19.8226 90.00 90.00 120.00
Space group R-3m (No. 166, hexagonal axes)
Inequivalent atoms, fractional coordinates:
Li: 0.0000 0.0000 0.0000 x3
Pm: 0.0000 0.0000 0.5000 x3
Pm: 0.0000 0.5000 0.5000 x9
Pr: 0.0000 0.5000 0.0000 x9
S: 0.0000 0.0000 0.2479 x6
S: 0.0095 0.5047 0.7497 x18

***

[7]
A plane-wave DFT calculation with PBE was carried out for Na4Pu3FeS8 after structural relaxation.

Calculated values
As for the calculated total energy: -6.887 eV per atom. Its formation energy from raw total energies is -1971 kJ/mol of formula units. The calculation puts the total magnetization at 1.129 μB/atom.

Lattice parameters (Å, degrees): 7.8863 7.8863 19.8140 90.00 90.00 120.00
Space group R-3m (No. 166, hexagonal axes)
Inequivalent atoms, fractional coordinates:
Na: 0.0000 0.0000 0.0000 x3
Na: 0.0000 0.5000 0.0000 x9
Pu: 0.0000 0.5000 0.5000 x9
Fe: 0.0000 0.0000 0.5000 x3
S: 0.0000 0.0000 0.2427 x6
S: 0.0138 0.5069 0.2394 x18